{
  "formula": "Mn2SnGeO",
  "functional": "PBE+U",
  "state": "relaxed",
  "cell": [[4.8353, 0.0000, 0.0000], [0.0000, 4.8353, 0.0000], [0.0000, 0.0000, 5.3528]],
  "species": ["Mn", "Mn", "Sn", "Ge", "O"],
  "fractional_positions": [[0.0000, 0.5000, 0.0000], [0.5000, 0.0000, 0.0000], [0.0000, 0.0000, 0.5000], [0.0000, 0.0000, 0.0000], [0.5000, 0.5000, 0.5000]],
  "dos_ef_per_ev_cell": 2.36,
  "total_energy_ev_per_atom": -4.946,
  "total_magnetization_mub_per_cell": 9.64
}